Entry one
Compound: YReP2S
Source: Alexandria via LeMat-Bulk
Functional: PBE
Structure: relaxed

Computed properties:
- total magnetization (μB per formula unit) = 0.0
- crystal system = tetragonal

a = 4.490 Å, b = 4.490 Å, c = 5.242 Å
α = 90.00°, β = 90.00°, γ = 90.00°
Positions (direct):
Y 0.500 0.500 0.500
Re 0.000 0.000 0.000
S 0.000 0.000 0.500
P 0.000 0.500 0.000
P 0.500 0.000 0.000



Entry two
Compound: YReP2S
Source: Alexandria via LeMat-Bulk
Functional: PBE
Structure: relaxed

Computed properties:
- total magnetization (μB per formula unit) = 3.3
- crystal system = tetragonal

a = 5.275 Å, b = 5.275 Å, c = 5.051 Å
α = 90.00°, β = 90.00°, γ = 90.00°
Each line ends with the local moment (μB).
Positions (direct):
Y 0.000 0.000 0.000  0.01
Re 0.500 0.500 0.500  3.93
S 0.000 0.000 0.500  -0.15
P 0.000 0.500 0.000  -0.28
P 0.500 0.000 0.000  -0.28



The energy of each structure relative to the most stable one, in eV/atom, is as follows: entry one 0.000; entry two 1.534.